Entry 1:
# CaRe2N2 | Alexandria via LeMat-Bulk | GGA-PBE | relaxed
# DOS at the Fermi energy: 5.31 states/eV per cell
# energy above the most stable polymorph in this dataset: 0.000 eV/atom
# magnetic moment: 0.00 μB per atom
# formation energy without anion corrections: 0.29 eV/atom
# calculated total energy: -8.424 eV per atom
data_CaRe2N2
_symmetry_space_group_name_H-M 'I 4/m m m'
_symmetry_Int_Tables_number 139
_symmetry_space_group_name_Hall '-I 4 2'
_cell_length_a 3.719
_cell_length_b 3.719
_cell_length_c 10.726
_cell_angle_alpha 90.00
_cell_angle_beta 90.00
_cell_angle_gamma 90.00
loop_
_atom_site_label
_atom_site_fract_x
_atom_site_fract_y
_atom_site_fract_z
Ca1 0.000 0.000 0.000
Re1 0.000 0.500 0.250
N1 0.000 0.000 0.350

***

Entry 2:
# PaNbAs2N | Alexandria via LeMat-Bulk | GGA-PBE | relaxed
# DOS at the Fermi energy: 4.22 states/eV per cell
# magnetic moment: 0.00 μB per atom
# formation energy without anion corrections: -0.99 eV/atom
# calculated total energy: -8.424 eV per atom
data_PaNbAs2N
_symmetry_space_group_name_H-M 'P 4/n m m'
_symmetry_Int_Tables_number 129
_cell_length_a 3.749
_cell_length_b 3.749
_cell_length_c 13.018
_cell_angle_alpha 90.00
_cell_angle_beta 90.00
_cell_angle_gamma 90.00
loop_
_symmetry_equiv_pos_as_xyz
'x,y,z'
'-x,-y,-z'
'-y+1/2,x,z'
'y+1/2,-x,-z'
'-x+1/2,-y+1/2,z'
'x+1/2,y+1/2,-z'
'y,-x+1/2,z'
'-y,x+1/2,-z'
'x+1/2,-y,-z'
'-x+1/2,y,z'
'-y,-x,-z'
'y,x,z'
'-x,y+1/2,-z'
'x,-y+1/2,z'
'y+1/2,x+1/2,-z'
'-y+1/2,-x+1/2,z'
loop_
_atom_site_label
_atom_site_fract_x
_atom_site_fract_y
_atom_site_fract_z
Pa1 0.250 0.250 0.097
Nb1 0.250 0.250 0.581
As1 0.250 0.250 0.374
As2 0.250 0.250 0.786
N1 0.250 0.750 0.000

***

Entry 3:
# Be4Rh3 | Alexandria via LeMat-Bulk | GGA-PBE | relaxed
# DOS at the Fermi energy: 8.64 states/eV per cell
# energy above the most stable polymorph in this dataset: 0.000 eV/atom
# magnetic moment: 0.00 μB per atom
# ΔE_f: -0.4611 eV per atom
# calculated total energy: -5.741 eV per atom
data_Be4Rh3
_symmetry_space_group_name_H-M 'I 4/m m m'
_symmetry_Int_Tables_number 139
_symmetry_space_group_name_Hall '-I 4 2'
_cell_length_a 2.825
_cell_length_b 2.825
_cell_length_c 18.542
_cell_angle_alpha 90.00
_cell_angle_beta 90.00
_cell_angle_gamma 90.00
loop_
_atom_site_label
_atom_site_fract_x
_atom_site_fract_y
_atom_site_fract_z
Be1 0.000 0.000 0.068
Be2 0.000 0.000 0.367
Rh1 0.000 0.000 0.197
Rh2 0.000 0.000 0.500

***

Entry 4:
# LiAg2Te2 | Alexandria via LeMat-Bulk | GGA-PBE | relaxed
# DOS at the Fermi energy: 4.91 states/eV per cell
# energy above the most stable polymorph in this dataset: 0.068 eV/atom
# magnetic moment: 0.00 μB per atom
# formation energy without anion corrections: -0.21 eV/atom
# calculated total energy: -2.995 eV per atom
data_LiAg2Te2
_symmetry_space_group_name_H-M 'I 4/m m m'
_symmetry_Int_Tables_number 139
_symmetry_space_group_name_Hall '-I 4 2'
_cell_length_a 4.081
_cell_length_b 4.081
_cell_length_c 15.361
_cell_angle_alpha 90.00
_cell_angle_beta 90.00
_cell_angle_gamma 90.00
loop_
_atom_site_label
_atom_site_fract_x
_atom_site_fract_y
_atom_site_fract_z
Li1 0.000 0.000 0.000
Ag1 0.000 0.500 0.250
Te1 0.000 0.000 0.385

***

Entry 5:
# LiZr2C | Alexandria via LeMat-Bulk | GGA-PBE | relaxed
# DOS at the Fermi energy: 7.37 states/eV per cell
# magnetic moment: 0.00 μB per atom
# ΔE_f: -0.2394 eV per atom
# calculated total energy: -7.298 eV per atom
data_LiZr2C
_symmetry_space_group_name_H-M 'R -3 m'
_symmetry_Int_Tables_number 166
_symmetry_space_group_name_Hall '-R 3 2"'
_cell_length_a 3.2914
_cell_length_b 3.2914
_cell_length_c 25.8715
_cell_angle_alpha 90.00
_cell_angle_beta 90.00
_cell_angle_gamma 120.00
loop_
_atom_site_label
_atom_site_fract_x
_atom_site_fract_y
_atom_site_fract_z
Li1 0.0000 0.0000 0.0000
Zr1 0.0000 0.0000 0.1181
C1 0.0000 0.0000 0.5000

***

Entry 6:
# Cd2TePb | Alexandria via LeMat-Bulk | GGA-PBE | relaxed
# DOS at the Fermi energy: 1.38 states/eV per cell
# energy above the most stable polymorph in this dataset: 0.090 eV/atom
# magnetic moment: 0.00 μB per atom
# formation energy without anion corrections: 0.02 eV/atom
# calculated total energy: -2.150 eV per atom
data_Cd2TePb
_symmetry_space_group_name_H-M 'C 1 2/m 1'
_symmetry_Int_Tables_number 12
_cell_length_a 12.617
_cell_length_b 3.514
_cell_length_c 5.746
_cell_angle_alpha 90.00
_cell_angle_beta 117.01
_cell_angle_gamma 90.00
loop_
_symmetry_equiv_pos_as_xyz
'x,y,z'
'-x,-y,-z'
'-x,y,-z'
'x,-y,z'
'x+1/2,y+1/2,z'
'-x+1/2,-y+1/2,-z'
'-x+1/2,y+1/2,-z'
'x+1/2,-y+1/2,z'
loop_
_atom_site_label
_atom_site_fract_x
_atom_site_fract_y
_atom_site_fract_z
Cd1 0.243 0.000 0.244
Te1 0.000 0.500 0.000
Pb1 0.000 0.000 0.500

***

Entry 7:
# Ba3CrRu | Alexandria via LeMat-Bulk | GGA-PBE | relaxed
# DOS at the Fermi energy: 5.73 states/eV per cell
# energy above the most stable polymorph in this dataset: 0.000 eV/atom
# magnetic moment: 1.11 μB per atom
# ΔE_f: 0.6193 eV per atom
# calculated total energy: -4.314 eV per atom
data_Ba3CrRu
_symmetry_space_group_name_H-M 'P m -3 m'
_symmetry_Int_Tables_number 221
_symmetry_space_group_name_Hall '-P 4 2 3'
_cell_length_a 5.924
_cell_length_b 5.924
_cell_length_c 5.924
_cell_angle_alpha 90.00
_cell_angle_beta 90.00
_cell_angle_gamma 90.00
loop_
_atom_site_label
_atom_site_fract_x
_atom_site_fract_y
_atom_site_fract_z
Ba1 0.000 0.000 0.500
Cr1 0.500 0.500 0.500
Ru1 0.000 0.000 0.000

***

Entry 8:
# KMg2HgPt | Alexandria via LeMat-Bulk | GGA-PBE | relaxed
# DOS at the Fermi energy: 1.40 states/eV per cell
# magnetic moment: 0.00 μB per atom
# ΔE_f: -0.3345 eV per atom
# calculated total energy: -2.460 eV per atom
data_KMg2HgPt
_symmetry_space_group_name_H-M 'P 4/m m m'
_symmetry_Int_Tables_number 123
_symmetry_space_group_name_Hall '-P 4 2'
_cell_length_a 5.111
_cell_length_b 5.111
_cell_length_c 5.414
_cell_angle_alpha 90.00
_cell_angle_beta 90.00
_cell_angle_gamma 90.00
loop_
_atom_site_label
_atom_site_fract_x
_atom_site_fract_y
_atom_site_fract_z
K1 0.000 0.000 0.000
Mg1 0.000 0.500 0.500
Hg1 0.500 0.500 0.000
Pt1 0.500 0.500 0.500

***

Repeat the fourth record exactly.
# LiAg2Te2 | Alexandria via LeMat-Bulk | GGA-PBE | relaxed
# DOS at the Fermi energy: 4.91 states/eV per cell
# energy above the most stable polymorph in this dataset: 0.068 eV/atom
# magnetic moment: 0.00 μB per atom
# formation energy without anion corrections: -0.21 eV/atom
# calculated total energy: -2.995 eV per atom
data_LiAg2Te2
_symmetry_space_group_name_H-M 'I 4/m m m'
_symmetry_Int_Tables_number 139
_symmetry_space_group_name_Hall '-I 4 2'
_cell_length_a 4.081
_cell_length_b 4.081
_cell_length_c 15.361
_cell_angle_alpha 90.00
_cell_angle_beta 90.00
_cell_angle_gamma 90.00
loop_
_atom_site_label
_atom_site_fract_x
_atom_site_fract_y
_atom_site_fract_z
Li1 0.000 0.000 0.000
Ag1 0.000 0.500 0.250
Te1 0.000 0.000 0.385

***

> Among the records above, which one has the lowest DOS at the Fermi energy?

Cd2TePb